An optimized crystal structure of CsK2ZnPb. Source: the Alexandria database, functional PBE-GGA.

Unit cell a=6.7231 b=6.7231 c=5.3716 alpha=90.00 beta=90.00 gamma=90.00
With the nearest neighbours (Å) after each atom.
Space group P4/mmm (No. 123)
Symmetry-distinct sites (fractional):
Cs: 0.0000 0.0000 0.0000 (multiplicity 1)  8 K 4.30, 4 Pb 4.75
K: 0.0000 0.5000 0.5000 (multiplicity 2)  2 Zn 3.36
Zn: 0.5000 0.5000 0.5000 (multiplicity 1)  2 Pb 2.69
Pb: 0.5000 0.5000 0.0000 (multiplicity 1)  2 Zn 2.69

Results
Formation energy   0.80 kcal/mol of atoms

An optimized crystal structure of Cs4K2Pd. Source: the Alexandria database, functional PBE-GGA.

Unit cell a=15.6705 b=15.6705 c=8.5091 alpha=90.00 beta=90.00 gamma=90.00
With the nearest neighbours (Å) after each atom.
Space group I4/mcm (No. 140)
Symmetry-distinct sites (fractional):
Cs: 0.0868 0.1680 0.0000 (multiplicity 16)  2 Pd 3.65
K: 0.0955 0.4045 0.5000 (multiplicity 8)  1 K 4.23, 2 Cs 4.68
Pd: 0.0000 0.0000 0.2500 (multiplicity 4)  8 Cs 3.65

Results
Formation energy   1.33 kcal/mol of atoms

What did the first record say?
An optimized crystal structure of CsK2ZnPb. Source: the Alexandria database, functional PBE-GGA.

Unit cell a=6.7231 b=6.7231 c=5.3716 alpha=90.00 beta=90.00 gamma=90.00
With the nearest neighbours (Å) after each atom.
Space group P4/mmm (No. 123)
Symmetry-distinct sites (fractional):
Cs: 0.0000 0.0000 0.0000 (multiplicity 1)  8 K 4.30, 4 Pb 4.75
K: 0.0000 0.5000 0.5000 (multiplicity 2)  2 Zn 3.36
Zn: 0.5000 0.5000 0.5000 (multiplicity 1)  2 Pb 2.69
Pb: 0.5000 0.5000 0.0000 (multiplicity 1)  2 Zn 2.69

Results
Formation energy   0.80 kcal/mol of atoms

What did the first record say?
An optimized crystal structure of CsK2ZnPb. Source: the Alexandria database, functional PBE-GGA.

Unit cell a=6.7231 b=6.7231 c=5.3716 alpha=90.00 beta=90.00 gamma=90.00
With the nearest neighbours (Å) after each atom.
Space group P4/mmm (No. 123)
Symmetry-distinct sites (fractional):
Cs: 0.0000 0.0000 0.0000 (multiplicity 1)  8 K 4.30, 4 Pb 4.75
K: 0.0000 0.5000 0.5000 (multiplicity 2)  2 Zn 3.36
Zn: 0.5000 0.5000 0.5000 (multiplicity 1)  2 Pb 2.69
Pb: 0.5000 0.5000 0.0000 (multiplicity 1)  2 Zn 2.69

Results
Formation energy   0.80 kcal/mol of atoms